SmMg2O: optimized geometry, GGA-PBE.

Output
For the total energy, the calculation gives -10.6 eV/f.u. For the calculated density, the calculation gives 3.8 Mg/m³. The space group is No. 123.

Geometry as POSCAR:
```
SmMg2O
1.0
-0.635 -0.626 3.903
2.124 -3.388 -0.198
4.940 3.021 1.289
Mg Sm O
2 1 1
Direct
0.000 0.000 0.500
0.500 0.500 0.000
0.500 0.500 0.500
0.000 0.000 0.000
```

---

RbZnB: optimized geometry, GGA-PBE.

Output
For the total energy, the calculation gives -4.5 eV/f.u. For the calculated density, the calculation gives 3.3 Mg/m³. The space group is No. 216.

Geometry as POSCAR:
```
RbZnB
1.0
0.000 3.429 3.429
3.429 0.000 3.429
3.429 3.429 0.000
Rb Zn B
1 1 1
Direct
0.250 0.250 0.250
0.750 0.750 0.750
0.000 0.000 0.000
```

---

LaAlHg: optimized geometry, GGA-PBE.

Output
For the total energy, the calculation gives -10.5 eV/f.u. For the calculated density, the calculation gives 7.9 Mg/m³. The space group is No. 187.

Geometry as POSCAR:
```
LaAlHg
1.0
-2.034 -3.823 2.001
3.409 -0.560 -3.289
5.431 0.052 5.619
La Hg Al
2 2 2
Direct
0.667 0.333 0.500
0.667 0.333 0.000
0.333 0.667 0.221
0.333 0.667 0.779
0.000 0.000 0.290
0.000 0.000 0.710
```

---

The lowest calculated density belongs to which entry? RbZnB

---

Look up the calculated density of the second one. 3.3 Mg/m³